[1]
Material: Pm2CdS
Method: DFT, PBE
State: relaxed

a = 3.4657 Å, b = 3.4657 Å, c = 8.1840 Å
α = 90.00°, β = 90.00°, γ = 90.00°
With the nearest neighbours (Å) after each atom.
Space group P4/mmm (No. 123)
Symmetry-distinct sites (fractional):
Pm  0.0000  0.0000  0.2204 [2 per cell]  4 S 3.04, 4 Cd 3.35
Cd  0.5000  0.5000  0.5000 [1 per cell]  8 Pm 3.35, 4 Cd 3.47
S  0.5000  0.5000  0.0000 [1 per cell]  8 Pm 3.04

The value obtained for the formation energy from raw total energies is -0.92 eV/atom. As for the offset from the most stable computed form: 75 kJ/mol of formula units.


[2]
Material: PmCdS2
Method: DFT, PBE
State: relaxed

a = 4.1098 Å, b = 4.1098 Å, c = 24.6148 Å
α = 90.00°, β = 90.00°, γ = 120.00°
With the nearest neighbours (Å) after each atom.
Space group R-3m (No. 166, hexagonal axes)
Symmetry-distinct sites (fractional):
Pm  0.0000  0.0000  0.0000 [3 per cell]  6 S 2.82
Cd  0.0000  0.0000  0.5000 [3 per cell]  2 S 2.58
S  0.0000  0.0000  0.3950 [6 per cell]  1 Cd 2.58, 3 Pm 2.82

The value obtained for the formation energy from raw total energies is -1.18 eV/atom.


[3]
Material: Pm4Cd2S
Method: DFT, PBE
State: relaxed

a = 5.3580 Å, b = 5.3580 Å, c = 15.2380 Å
α = 90.00°, β = 90.00°, γ = 90.00°
With the nearest neighbours (Å) after each atom.
Space group I4/mmm (No. 139)
Symmetry-distinct sites (fractional):
Pm  0.0000  0.0000  0.1844 [4 per cell]  1 S 2.81, 1 Cd 3.04
Pm  0.0000  0.5000  0.0000 [4 per cell]  2 S 2.68
Cd  0.0000  0.0000  0.3839 [4 per cell]  5 Pm 3.04-3.21
S  0.0000  0.0000  0.0000 [2 per cell]  6 Pm 2.68-2.81

The value obtained for the formation energy from raw total energies is -0.59 eV/atom.


The lowest formation energy from raw total energies belongs to which entry? PmCdS2


Look up the formation energy from raw total energies of the second one. -1.18 eV/atom


Which of these has the highest formation energy from raw total energies? Pm4Cd2S


The lowest formation energy from raw total energies belongs to which entry? PmCdS2